1.
This record from Alexandria describes crystalline TaMn2Cd at its relaxed geometry. The functional is PBE.

Geometry as CIF:
```
data_TaMn2Cd
_cell_length_a 2.8125
_cell_length_b 2.8125
_cell_length_c 7.5835
_cell_angle_alpha 90.00
_cell_angle_beta 90.00
_cell_angle_gamma 90.00
_space_group_name_H-M_alt 'P 4 m m'
_space_group_IT_number 99
loop_
_space_group_symop_operation_xyz
'x,y,z'
'-y,x,z'
'-x,-y,z'
'y,-x,z'
'-x,y,z'
'y,x,z'
'x,-y,z'
'-y,-x,z'
loop_
_atom_site_label
_atom_site_type_symbol
_atom_site_fract_x
_atom_site_fract_y
_atom_site_fract_z
Ta1 Ta 0.0000 0.0000 0.0000
Mn1 Mn 0.0000 0.0000 0.5914
Mn2 Mn 0.5000 0.5000 0.7476
Cd1 Cd 0.5000 0.5000 0.3163
```

2.
This record from Alexandria describes crystalline TaMn2Cd at its relaxed geometry. The functional is PBE.

Geometry as CIF:
```
data_TaMn2Cd
_cell_length_a 2.8978
_cell_length_b 2.8978
_cell_length_c 27.3731
_cell_angle_alpha 90.00
_cell_angle_beta 90.00
_cell_angle_gamma 120.00
_space_group_name_H-M_alt 'R 3 m'
_space_group_IT_number 160
_space_group_name_Hall 'R 3 -2"'
loop_
_atom_site_label
_atom_site_type_symbol
_atom_site_fract_x
_atom_site_fract_y
_atom_site_fract_z
Ta1 Ta 0.0000 0.0000 0.0000
Mn1 Mn 0.0000 0.0000 0.2521
Mn2 Mn 0.0000 0.0000 0.5176
Cd1 Cd 0.0000 0.0000 0.7631
```

| no. | uncorrected energy (eV/atom) |
| --- | --- |
| 1 | -7.5810 |
| 2 | -7.4509 |